[1]
# Dy6Ho2Cd, optimized geometry, DFT PBE
# relative energy among the computed polymorphs = 0 meV/atom
# size of the total moment = 0.00 μB/atom
# DOS(E_F) = 13.1 states/eV/f.u.
# uncorrected energy = -4.201 eV per atom
data_Dy6Ho2Cd
_chemical_formula_sum 'Dy12 Ho4 Cd2'
_cell_length_a 4.959
_cell_length_b 10.457
_cell_length_c 10.457
_cell_angle_alpha 90.00
_cell_angle_beta 90.01
_cell_angle_gamma 90.00
_space_group_name_H-M_alt 'P 1'
_space_group_IT_number 1
loop_
_space_group_symop_operation_xyz
'x,y,z'
loop_
_atom_site_label
_atom_site_fract_x
_atom_site_fract_y
_atom_site_fract_z
Ho1 0.500 0.165 0.335
Ho2 0.000 0.665 0.165
Ho3 0.500 0.835 0.665
Ho4 0.000 0.335 0.835
Cd1 0.000 0.000 0.500
Cd2 0.500 0.500 0.000
Dy1 0.000 0.333 0.500
Dy2 0.000 0.667 0.500
Dy3 0.500 0.500 0.333
Dy4 0.000 0.000 0.833
Dy5 0.000 0.000 0.167
Dy6 0.000 0.664 0.836
Dy7 0.500 0.164 0.664
Dy8 0.500 0.500 0.667
Dy9 0.500 0.836 0.336
Dy10 0.500 0.833 0.000
Dy11 0.500 0.167 0.000
Dy12 0.000 0.336 0.164

---

[2]
# Dy8Ho2Cd, optimized geometry, DFT PBE
# relative energy among the computed polymorphs = 12 meV/atom
# size of the total moment = 0.00 μB/atom
# DOS(E_F) = 14.9 states/eV/f.u.
# uncorrected energy = -4.267 eV per atom
data_Dy8Ho2Cd
_chemical_formula_sum 'Dy8 Ho2 Cd1'
_cell_length_a 6.058
_cell_length_b 7.809
_cell_length_c 9.256
_cell_angle_alpha 94.71
_cell_angle_beta 83.93
_cell_angle_gamma 129.99
_space_group_name_H-M_alt 'P 1'
_space_group_IT_number 1
loop_
_space_group_symop_operation_xyz
'x,y,z'
loop_
_atom_site_label
_atom_site_fract_x
_atom_site_fract_y
_atom_site_fract_z
Dy1 0.228 0.459 0.910
Dy2 0.860 0.725 0.456
Dy3 0.591 0.181 0.362
Dy4 0.772 0.541 0.090
Dy5 0.954 0.907 0.822
Dy6 0.046 0.093 0.178
Dy7 0.409 0.819 0.638
Dy8 0.140 0.275 0.544
Cd1 0.500 0.000 0.000
Ho1 0.674 0.362 0.730
Ho2 0.326 0.638 0.270

---

[3]
# Dy7Ho2Cd2, optimized geometry, DFT PBE
# size of the total moment = 0.00 μB/atom
# DOS(E_F) = 13.0 states/eV/f.u.
# uncorrected energy = -3.971 eV per atom
data_Dy7Ho2Cd2
_chemical_formula_sum 'Dy7 Ho2 Cd2'
_cell_length_a 8.431
_cell_length_b 6.467
_cell_length_c 6.467
_cell_angle_alpha 97.29
_cell_angle_beta 77.11
_cell_angle_gamma 77.11
_space_group_name_H-M_alt 'P 1'
_space_group_IT_number 1
loop_
_space_group_symop_operation_xyz
'x,y,z'
loop_
_atom_site_label
_atom_site_fract_x
_atom_site_fract_y
_atom_site_fract_z
Dy1 0.000 0.000 0.000
Dy2 0.417 0.861 0.861
Dy3 0.827 0.874 0.519
Dy4 0.173 0.481 0.126
Dy5 0.827 0.519 0.874
Dy6 0.173 0.126 0.481
Dy7 0.583 0.139 0.139
Cd1 0.825 0.380 0.380
Cd2 0.175 0.620 0.620
Ho1 0.500 0.317 0.683
Ho2 0.500 0.683 0.317

---

[4]
# Dy5Ho8Cd, optimized geometry, DFT PBE
# size of the total moment = 0.00 μB/atom
# DOS(E_F) = 18.0 states/eV/f.u.
# uncorrected energy = -4.120 eV per atom
data_Dy5Ho8Cd
_chemical_formula_sum 'Dy5 Ho8 Cd1'
_cell_length_a 8.344
_cell_length_b 8.344
_cell_length_c 8.344
_cell_angle_alpha 110.51
_cell_angle_beta 107.42
_cell_angle_gamma 110.51
_space_group_name_H-M_alt 'P 1'
_space_group_IT_number 1
loop_
_space_group_symop_operation_xyz
'x,y,z'
loop_
_atom_site_label
_atom_site_fract_x
_atom_site_fract_y
_atom_site_fract_z
Ho1 0.735 0.258 0.340
Ho2 0.342 0.274 0.441
Ho3 0.660 0.394 0.918
Ho4 0.167 0.726 0.068
Ho5 0.082 0.742 0.477
Ho6 0.932 0.099 0.658
Ho7 0.523 0.606 0.265
Ho8 0.559 0.901 0.833
Dy1 0.288 0.106 0.979
Dy2 0.021 0.310 0.127
Dy3 0.873 0.894 0.182
Dy4 0.500 0.000 0.500
Dy5 0.818 0.690 0.712
Cd1 0.250 0.500 0.750

---

[5]
# Dy8HoCd6, optimized geometry, DFT PBE
# size of the total moment = 0.05 μB/atom
# DOS(E_F) = 18.4 states/eV/f.u.
# uncorrected energy = -3.194 eV per atom
data_Dy8HoCd6
_chemical_formula_sum 'Dy8 Ho1 Cd6'
_cell_length_a 8.954
_cell_length_b 8.954
_cell_length_c 8.203
_cell_angle_alpha 56.92
_cell_angle_beta 56.92
_cell_angle_gamma 60.00
_space_group_name_H-M_alt 'P 1'
_space_group_IT_number 1
loop_
_space_group_symop_operation_xyz
'x,y,z'
loop_
_atom_site_label
_atom_site_fract_x
_atom_site_fract_y
_atom_site_fract_z
Ho1 0.000 0.000 0.000
Cd1 0.052 0.719 0.845
Cd2 0.281 0.615 0.155
Cd3 0.948 0.281 0.155
Cd4 0.615 0.948 0.155
Cd5 0.385 0.052 0.845
Cd6 0.719 0.385 0.845
Dy1 0.116 0.449 0.651
Dy2 0.783 0.116 0.651
Dy3 0.884 0.551 0.349
Dy4 0.449 0.783 0.651
Dy5 0.333 0.333 0.000
Dy6 0.217 0.884 0.349
Dy7 0.667 0.667 0.000
Dy8 0.551 0.217 0.349

---

[6]
# Dy2HoCd8, optimized geometry, DFT PBE
# size of the total moment = 0.00 μB/atom
# DOS(E_F) = 5.5 states/eV/f.u.
# uncorrected energy = -2.144 eV per atom
data_Dy2HoCd8
_chemical_formula_sum 'Dy2 Ho1 Cd8'
_cell_length_a 5.332
_cell_length_b 6.326
_cell_length_c 8.895
_cell_angle_alpha 110.18
_cell_angle_beta 106.69
_cell_angle_gamma 92.02
_space_group_name_H-M_alt 'P 1'
_space_group_IT_number 1
loop_
_space_group_symop_operation_xyz
'x,y,z'
loop_
_atom_site_label
_atom_site_fract_x
_atom_site_fract_y
_atom_site_fract_z
Cd1 0.114 0.360 0.259
Cd2 0.748 0.520 0.000
Cd3 0.145 0.899 0.259
Cd4 0.700 0.200 0.400
Cd5 0.855 0.101 0.741
Cd6 0.300 0.800 0.600
Cd7 0.886 0.640 0.741
Cd8 0.252 0.480 0.000
Dy1 0.312 0.312 0.623
Dy2 0.688 0.688 0.377
Ho1 0.500 0.000 0.000

---

[7]
# Dy2Ho7Cd2, optimized geometry, DFT PBE
# size of the total moment = 0.00 μB/atom
# DOS(E_F) = 14.3 states/eV/f.u.
# uncorrected energy = -3.877 eV per atom
data_Dy2Ho7Cd2
_chemical_formula_sum 'Dy2 Ho7 Cd2'
_cell_length_a 7.986
_cell_length_b 6.560
_cell_length_c 6.560
_cell_angle_alpha 92.24
_cell_angle_beta 79.99
_cell_angle_gamma 79.99
_space_group_name_H-M_alt 'P 1'
_space_group_IT_number 1
loop_
_space_group_symop_operation_xyz
'x,y,z'
loop_
_atom_site_label
_atom_site_fract_x
_atom_site_fract_y
_atom_site_fract_z
Cd1 0.142 0.602 0.602
Cd2 0.858 0.398 0.398
Ho1 0.534 0.308 0.308
Ho2 0.175 0.115 0.523
Ho3 0.825 0.885 0.477
Ho4 0.825 0.477 0.885
Ho5 0.000 0.000 0.000
Ho6 0.466 0.692 0.692
Ho7 0.175 0.523 0.115
Dy1 0.500 0.822 0.178
Dy2 0.500 0.178 0.822

---

[8]
# Dy12Ho6Cd, optimized geometry, DFT PBE
# relative energy among the computed polymorphs = 16 meV/atom
# size of the total moment = 0.00 μB/atom
# DOS(E_F) = 31.8 states/eV/f.u.
# uncorrected energy = -4.277 eV per atom
data_Dy12Ho6Cd
_chemical_formula_sum 'Dy12 Ho6 Cd1'
_cell_length_a 8.533
_cell_length_b 8.533
_cell_length_c 8.533
_cell_angle_alpha 97.18
_cell_angle_beta 97.18
_cell_angle_gamma 97.18
_space_group_name_H-M_alt 'P 1'
_space_group_IT_number 1
loop_
_space_group_symop_operation_xyz
'x,y,z'
loop_
_atom_site_label
_atom_site_fract_x
_atom_site_fract_y
_atom_site_fract_z
Ho1 0.592 0.864 0.864
Ho2 0.864 0.592 0.864
Ho3 0.136 0.136 0.408
Ho4 0.408 0.136 0.136
Ho5 0.864 0.864 0.592
Ho6 0.136 0.408 0.136
Dy1 0.416 0.831 0.416
Dy2 0.584 0.169 0.584
Dy3 0.169 0.584 0.584
Dy4 0.740 0.000 0.260
Dy5 0.260 0.740 0.000
Dy6 0.416 0.416 0.831
Dy7 0.831 0.416 0.416
Dy8 0.000 0.740 0.260
Dy9 0.260 0.000 0.740
Dy10 0.000 0.260 0.740
Dy11 0.740 0.260 0.000
Dy12 0.584 0.584 0.169
Cd1 0.000 0.000 0.000

---

[9]
# DyHoCd2, optimized geometry, DFT PBE
# relative energy among the computed polymorphs = 0 meV/atom
# size of the total moment = 0.00 μB/atom
# DOS(E_F) = 3.6 states/eV/f.u.
# uncorrected energy = -3.075 eV per atom
data_DyHoCd2
_chemical_formula_sum 'Dy1 Ho1 Cd2'
_cell_length_a 5.283
_cell_length_b 5.283
_cell_length_c 5.283
_cell_angle_alpha 60.00
_cell_angle_beta 60.00
_cell_angle_gamma 60.00
_space_group_name_H-M_alt 'P 1'
_space_group_IT_number 1
loop_
_space_group_symop_operation_xyz
'x,y,z'
loop_
_atom_site_label
_atom_site_fract_x
_atom_site_fract_y
_atom_site_fract_z
Dy1 0.500 0.500 0.500
Cd1 0.750 0.750 0.750
Cd2 0.250 0.250 0.250
Ho1 0.000 0.000 0.000

---

[10]
# Dy2Ho2Cd, optimized geometry, DFT PBE
# relative energy among the computed polymorphs = 0 meV/atom
# size of the total moment = 0.00 μB/atom
# DOS(E_F) = 7.5 states/eV/f.u.
# uncorrected energy = -3.965 eV per atom
data_Dy2Ho2Cd
_chemical_formula_sum 'Dy2 Ho2 Cd1'
_cell_length_a 3.542
_cell_length_b 3.542
_cell_length_c 11.909
_cell_angle_alpha 98.55
_cell_angle_beta 98.55
_cell_angle_gamma 90.00
_space_group_name_H-M_alt 'P 1'
_space_group_IT_number 1
loop_
_space_group_symop_operation_xyz
'x,y,z'
loop_
_atom_site_label
_atom_site_fract_x
_atom_site_fract_y
_atom_site_fract_z
Ho1 0.410 0.410 0.821
Ho2 0.590 0.590 0.179
Dy1 0.804 0.804 0.607
Dy2 0.196 0.196 0.393
Cd1 0.000 0.000 0.000

---

ΔH_f (0 K) readings, ordered: -0.01, 0.00, -0.04, 0.21, -0.07, -0.23, 0.04, 0.12, -0.32, -0.11 eV per atom